Density functional theory data (PBEsol) for MgTa2Tc after structural relaxation.

a = 3.1992 Å, b = 4.5531 Å, c = 5.4012 Å
α = 114.93°, β = 107.23°, γ = 90.00°
Atoms (fractional coordinates):
Mg 0.2334 0.2334 0.4669
Ta 0.7708 0.7708 0.5416
Ta 0.0075 0.5075 0.0150
Tc 0.4882 0.9882 0.9765

Values from the calculation:
final energy: -9.410 eV/atom